1.
This record from Alexandria describes a relaxed Ta2TiTeCl crystal. The functional is GGA-PBE.

Formation energy without anion corrections (meV/atom): 1226
Symmetry: No. 123
Fermi-level density of states (states/eV per cell): 5.64
E above lowest polymorph (meV/atom): 574
Volume (Å³ per atom): 24.3
Crystal system: tetragonal
M_tot (μB per formula unit): 1.097

Cell lengths 4.909, 5.040, 4.909 Å; angles 90.00, 90.00, 90.00 degrees
Fractional positions:
Ti (0.000, 0.000, 0.000)
Te (0.000, 0.500, 0.000)
Ta (0.500, 0.000, 0.000)
Ta (0.000, 0.000, 0.500)
Cl (0.500, 0.500, 0.500)

2.
This record from Alexandria describes a relaxed UBi2O6 crystal. The functional is GGA-PBE.

Formation energy without anion corrections (meV/atom): -2088
Symmetry: No. 164
Volume (Å³ per atom): 14.2
Crystal system: trigonal
M_tot (μB per formula unit): 0.000

Cell lengths 3.926, 3.926, 9.562 Å; angles 90.00, 90.00, 120.00 degrees
Fractional positions:
O (0.333, 0.667, 0.085)
O (0.000, 0.000, 0.290)
O (0.667, 0.333, 0.915)
O (0.333, 0.667, 0.553)
O (0.667, 0.333, 0.447)
O (0.000, 0.000, 0.710)
Bi (0.333, 0.667, 0.840)
Bi (0.667, 0.333, 0.160)
U (0.000, 0.000, 0.500)

3.
This record from Alexandria describes a relaxed CaAg2Bi2 crystal. The functional is GGA-PBE.

Symmetry: No. 127
Fermi-level density of states (states/eV per cell): 5.36
Volume (Å³ per atom): 26.9
Crystal system: tetragonal
M_tot (μB per formula unit): 0.000
ΔE_f (eV per formula unit): -0.5

Cell lengths 8.532, 8.532, 3.695 Å; angles 90.00, 90.00, 90.00 degrees
Fractional positions:
Ca (0.500, 0.500, 0.000)
Ca (0.000, 0.000, 0.000)
Bi (0.838, 0.662, 0.000)
Bi (0.662, 0.162, 0.000)
Bi (0.338, 0.838, 0.000)
Bi (0.162, 0.338, 0.000)
Ag (0.634, 0.866, 0.500)
Ag (0.366, 0.134, 0.500)
Ag (0.866, 0.366, 0.500)
Ag (0.134, 0.634, 0.500)

4.
This record from Alexandria describes a relaxed NiRuSe2 crystal. The functional is GGA-PBE.

Formation energy without anion corrections (meV/atom): 188
Symmetry: No. 225
Fermi-level density of states (states/eV per cell): 1.91
E above lowest polymorph (meV/atom): 381
Volume (Å³ per atom): 14.9
Crystal system: cubic
M_tot (μB per formula unit): 0.000

Cell lengths 4.387, 4.387, 4.387 Å; angles 60.00, 60.00, 60.00 degrees
Fractional positions:
Se (0.750, 0.750, 0.750)
Se (0.250, 0.250, 0.250)
Ru (0.500, 0.500, 0.500)
Ni (0.000, 0.000, 0.000)

5.
This record from Alexandria describes a relaxed HfCdNi crystal. The functional is GGA-PBE.

Symmetry: No. 107
Fermi-level density of states (states/eV per cell): 3.05
Volume (Å³ per atom): 17.8
Crystal system: tetragonal
M_tot (μB per formula unit): 0.000
ΔE_f (eV per formula unit): -0.5

Cell lengths 3.113, 3.113, 5.933 Å; angles 105.21, 105.21, 90.00 degrees
Fractional positions:
Cd (0.984, 0.984, 0.968)
Ni (0.325, 0.325, 0.650)
Hf (0.691, 0.691, 0.382)

6.
This record from Alexandria describes a relaxed NbBr3N crystal. The functional is GGA-PBE.

Formation energy without anion corrections (meV/atom): 1405
Symmetry: No. 221
Fermi-level density of states (states/eV per cell): 10.88
E above lowest polymorph (meV/atom): 804
Volume (Å³ per atom): 19.5
Crystal system: cubic
M_tot (μB per formula unit): 0.000

Cell lengths 4.600, 4.600, 4.600 Å; angles 90.00, 90.00, 90.00 degrees
Fractional positions:
N (0.000, 0.000, 0.000)
Br (0.000, 0.500, 0.000)
Br (0.500, 0.000, 0.000)
Br (0.000, 0.000, 0.500)
Nb (0.500, 0.500, 0.500)

7.
This record from Alexandria describes a relaxed Pm4ZnCu2 crystal. The functional is GGA-PBE.

Symmetry: No. 166
Fermi-level density of states (states/eV per cell): 9.49
Volume (Å³ per atom): 25.8
Crystal system: trigonal
M_tot (μB per formula unit): 0.512
ΔE_f (eV per formula unit): -0.6

Cell lengths 5.052, 5.052, 8.668 Å; angles 73.06, 73.06, 60.00 degrees
Fractional positions:
Cu (0.746, 0.746, 0.762)
Cu (0.254, 0.254, 0.238)
Zn (0.000, 0.000, 0.000)
Pm (0.127, 0.127, 0.618)
Pm (0.621, 0.621, 0.138)
Pm (0.379, 0.379, 0.862)
Pm (0.873, 0.873, 0.382)

8.
This record from Alexandria describes a relaxed LiTiGa4 crystal. The functional is GGA-PBE.

Symmetry: No. 216
Fermi-level density of states (states/eV per cell): 4.29
Volume (Å³ per atom): 16.9
Crystal system: cubic
M_tot (μB per formula unit): 1.534
ΔE_f (eV per formula unit): -0.8

Cell lengths 5.239, 5.239, 5.239 Å; angles 60.00, 60.00, 60.00 degrees
Fractional positions:
Ga (0.625, 0.125, 0.625)
Ga (0.125, 0.625, 0.625)
Ga (0.625, 0.625, 0.625)
Ga (0.625, 0.625, 0.125)
Ti (0.000, 0.000, 0.000)
Li (0.250, 0.250, 0.250)

9.
This record from Alexandria describes a relaxed Na2SrPmF8 crystal. The functional is GGA-PBE.

Formation energy without anion corrections (meV/atom): -3251
Symmetry: No. 119
Fermi-level density of states (states/eV per cell): 13.22
Volume (Å³ per atom): 15.3
Crystal system: tetragonal
M_tot (μB per formula unit): 1.137

Cell lengths 5.637, 5.637, 7.005 Å; angles 113.72, 113.72, 90.00 degrees
Fractional positions:
Na (0.000, 0.000, 0.000)
Na (0.750, 0.250, 0.500)
F (0.890, 0.872, 0.260)
F (0.612, 0.630, 0.740)
F (0.612, 0.110, 0.740)
F (0.370, 0.872, 0.260)
F (0.890, 0.388, 0.260)
F (0.128, 0.630, 0.740)
F (0.370, 0.388, 0.260)
F (0.128, 0.110, 0.740)
Sr (0.500, 0.500, 0.000)
Pm (0.250, 0.750, 0.500)

10.
This record from Alexandria describes a relaxed Hf8GaNi2 crystal. The functional is GGA-PBE.

Symmetry: No. 12
Fermi-level density of states (states/eV per cell): 11.82
Volume (Å³ per atom): 20.0
Crystal system: monoclinic
M_tot (μB per formula unit): 0.001
ΔE_f (eV per formula unit): -1.2

Cell lengths 4.710, 7.335, 7.335 Å; angles 115.02, 98.75, 98.75 degrees
Fractional positions:
Hf (0.915, 0.680, 0.920)
Hf (0.085, 0.080, 0.320)
Hf (0.915, 0.920, 0.680)
Hf (0.085, 0.320, 0.080)
Hf (0.500, 0.239, 0.761)
Hf (0.500, 0.761, 0.239)
Hf (0.688, 0.389, 0.389)
Hf (0.312, 0.611, 0.611)
Ga (0.500, 0.000, 0.000)
Ni (0.000, 0.312, 0.688)
Ni (0.000, 0.688, 0.312)

11.
This record from Alexandria describes a relaxed HfMgSc2Sb crystal. The functional is GGA-PBE.

Formation energy without anion corrections (meV/atom): 357
Symmetry: No. 123
Fermi-level density of states (states/eV per cell): 4.02
Volume (Å³ per atom): 30.0
Crystal system: tetragonal
M_tot (μB per formula unit): 0.000

Cell lengths 5.302, 5.335, 5.302 Å; angles 90.00, 90.00, 90.00 degrees
Fractional positions:
Sc (0.500, 0.000, 0.000)
Sc (0.000, 0.000, 0.500)
Hf (0.000, 0.500, 0.000)
Mg (0.500, 0.500, 0.500)
Sb (0.000, 0.000, 0.000)

12.
This record from Alexandria describes a relaxed ZnFeCu4 crystal. The functional is GGA-PBE.

Symmetry: No. 216
Fermi-level density of states (states/eV per cell): 5.05
Volume (Å³ per atom): 12.9
Crystal system: cubic
M_tot (μB per formula unit): 2.742
ΔE_f (eV per formula unit): 1.2

Cell lengths 4.787, 4.787, 4.787 Å; angles 60.00, 60.00, 60.00 degrees
Fractional positions:
Zn (0.000, 0.000, 0.000)
Cu (0.375, 0.375, 0.375)
Cu (0.875, 0.375, 0.375)
Cu (0.375, 0.875, 0.375)
Cu (0.375, 0.375, 0.875)
Fe (0.750, 0.750, 0.750)